A) VASP calculation (PBE) on an optimized crystal structure of Tl3VI.

Unit cell a=6.334 b=6.334 c=6.334 alpha=90.00 beta=90.00 gamma=90.00
Space group Pm-3m (No. 221)
Symmetry-distinct sites (fractional):
Tl  0.000  0.000  0.500 x3
V  0.500  0.500  0.500 x1
I  0.000  0.000  0.000 x1


B) VASP calculation (PBE) on an optimized crystal structure of Tl3VI.

Unit cell a=5.579 b=5.579 c=5.579 alpha=90.00 beta=90.00 gamma=90.00
Space group Pm-3m (No. 221)
Symmetry-distinct sites (fractional):
Tl  0.000  0.000  0.500 x3
V  0.000  0.000  0.000 x1
I  0.500  0.500  0.500 x1


B) is the most stable structure shown above.